--- P ---
# BaCa2TlPt

An optimized crystal structure of BaCa2TlPt (PBE, the Alexandria database).

Lattice parameters (Å, degrees): 5.6101 5.6101 6.0938 90.00 90.00 90.00
Closest atoms and distances in Å follow each position.
Fractional coordinates of all 5 atoms:
Tl 0.5000 0.5000 0.5000  4 Ba 3.97, 8 Ca 4.14
Pt 0.0000 0.0000 0.0000  4 Ca 2.81, 2 Ba 3.05
Ca 0.5000 0.0000 0.0000  2 Pt 2.81
Ca 0.0000 0.5000 0.0000  2 Pt 2.81
Ba 0.0000 0.0000 0.5000  2 Pt 3.05

---

--- Q ---
# BaCa2TlPt

An optimized crystal structure of BaCa2TlPt (PBE, the Alexandria database).

Lattice parameters (Å, degrees): 5.6269 5.6269 5.4480 90.00 90.00 90.00
Closest atoms and distances in Å follow each position.
Fractional coordinates of all 5 atoms:
Ca 0.5000 0.0000 0.0000  2 Pt 2.81
Ca 0.0000 0.5000 0.0000  2 Pt 2.81
Ba 0.5000 0.5000 0.5000  8 Ca 3.92, 4 Tl 3.98
Pt 0.0000 0.0000 0.0000  2 Tl 2.72, 4 Ca 2.81
Tl 0.0000 0.0000 0.5000  2 Pt 2.72

---

Of all the structures shown, which is most stable? P, and Q is the least stable.